No. 1
Computed, not measured: a geometry-optimized BaHoIO6 structure at the PBE level of DFT.

spin magnetization = 0.000 μB per formula unit
space-group type = P312, No. 149
E_tot = -0.2246 hartree per atom
formation energy from raw total energies = -185 kJ per mole of atoms

Unit cell a=5.6594 b=5.6593 c=5.6229 alpha=90.00 beta=90.00 gamma=60.00
Atoms (fractional coordinates):
O: 0.5985 0.3559 0.6949
O: 0.3559 0.5985 0.3051
O: 0.3558 0.0456 0.6949
O: 0.5986 0.0456 0.3051
O: 0.0456 0.3559 0.3051
O: 0.0455 0.5986 0.6948
I: 0.3333 0.3333 0.5000
Ba: 0.0000 0.0000 0.0000
Ho: 0.6666 0.6667 0.5000

***

No. 2
Computed, not measured: a geometry-optimized SrZn2Ni structure at the PBE level of DFT.

spin magnetization = 0.000 μB per formula unit
space-group type = Immm, No. 71
energy of formation from the pure elements = 21 meV/atom
E_tot = -0.0912 hartree per atom

Unit cell a=5.2970 b=5.2970 c=5.2970 alpha=137.95 beta=120.37 gamma=75.63
Atoms (fractional coordinates):
Zn: 0.5576 0.5576 0.0000
Zn: 0.9424 0.9424 0.0000
Sr: 0.2500 0.7500 0.5000
Ni: 0.7500 0.2500 0.5000

***

No. 3
Computed, not measured: a geometry-optimized SrMn2Ir structure at the PBE level of DFT.

spin magnetization = 7.938 μB per formula unit
space-group type = P4/mmm, No. 123
energy of formation from the pure elements = 372 meV/atom
E_tot = -0.2517 hartree per atom

Unit cell a=3.2338 b=3.2338 c=7.7188 alpha=90.00 beta=90.00 gamma=90.00
Atoms (fractional coordinates):
Ir: 0.5000 0.5000 0.7500
Mn: 0.0000 0.0000 0.9270
Mn: 0.0000 0.0000 0.5730
Sr: 0.5000 0.5000 0.2500